A plane-wave DFT calculation with PBE was carried out for Dy3Sc2In2 after structural relaxation.

V, Å³/f.u.: 181.0
Raw total energy, eV per atom: -4.580

Cell lengths 5.2981, 3.2043, 10.9863 Å; angles 90.00, 103.95, 90.00 degrees
With the nearest neighbours (Å) after each atom.
Space group P2/m (No. 10)
Asymmetric unit:
1 Dy 0.0000 0.0000 0.0000 x1  4 Sc 3.05, 2 Dy 3.20
2 Dy 0.2892 0.0000 0.5784 x2  1 Sc 2.99, 4 Dy 3.13-3.20
3 Sc 0.4296 0.0000 0.8587 x2  3 Dy 2.99-3.05, 3 Sc 3.01-3.20
4 In 0.1422 0.5000 0.2851 x2  2 In 3.20, 8 Dy 3.42-3.51, 4 Sc 3.45-3.46